No. 1
Here is crystalline TiTcNiH2 at its relaxed geometry from the Alexandria database. Energies are from PBE.

abc: 3.3971 3.3971 4.9578
angles: 90.00 90.00 90.00
Last column: nearest neighbours and their distance in Å.
Positions (direct):
Ti 0.0000 0.0000 0.0000  4 Tc 2.40, 2 Ni 2.48
Tc 0.5000 0.5000 0.0000  4 Ti 2.40
Ni 0.0000 0.0000 0.5000  4 H 1.70
H 0.0000 0.5000 0.5000  2 Ni 1.70
H 0.5000 0.0000 0.5000  2 Ni 1.70

Calculated values
magnetization: 0.0000 μB per atom
electronic total energy: -5.49 eV per atom


No. 2
Here is crystalline AcSb2PdO8 at its relaxed geometry from the Alexandria database. Energies are from PBE.

abc: 5.1463 6.5048 5.1507
angles: 90.00 94.37 90.00
Last column: nearest neighbours and their distance in Å.
Positions (direct):
Ac 0.0000 0.0000 0.0000  6 O 2.36-2.54
Sb 0.5000 0.2622 0.5000  6 O 1.99-2.11
Sb 0.5000 0.7378 0.5000  6 O 1.99-2.11
Pd 0.0000 0.5000 0.0000  4 O 2.09
O 0.2172 0.2781 0.2145  1 Sb 1.99, 1 Pd 2.09
O 0.2172 0.7219 0.2145  1 Sb 1.99, 1 Pd 2.09
O 0.3173 0.5000 0.6803  2 Sb 2.07
O 0.3347 0.0000 0.6627  2 Sb 2.11
O 0.6653 0.0000 0.3373  2 Sb 2.11
O 0.6827 0.5000 0.3197  2 Sb 2.07
O 0.7828 0.2781 0.7855  1 Sb 1.99, 1 Pd 2.09
O 0.7828 0.7219 0.7855  1 Sb 1.99, 1 Pd 2.09

Calculated values
raw formation energy: -1.466 eV/atom
magnetization: 0.0216 μB per atom


No. 3
Here is crystalline Cu2Bi2Pb at its relaxed geometry from the Alexandria database. Energies are from PBE.

abc: 8.5621 8.5621 3.3236
angles: 90.00 90.00 90.00
Last column: nearest neighbours and their distance in Å.
Positions (direct):
Cu 0.1475 0.3525 0.0000  6 Bi 2.99-3.02, 2 Cu 3.32
Cu 0.3525 0.8525 0.0000  6 Bi 2.99-3.02, 2 Cu 3.32
Cu 0.6475 0.1475 0.0000  6 Bi 2.99-3.02, 2 Cu 3.32
Cu 0.8525 0.6475 0.0000  6 Bi 2.99-3.02, 2 Cu 3.32
Bi 0.1469 0.6469 0.5000  6 Cu 2.99-3.02, 2 Pb 3.27, 2 Bi 3.32
Bi 0.3531 0.1469 0.5000  6 Cu 2.99-3.02, 2 Pb 3.27, 2 Bi 3.32
Bi 0.6469 0.8531 0.5000  6 Cu 2.99-3.02, 2 Pb 3.27, 2 Bi 3.32
Bi 0.8531 0.3531 0.5000  6 Cu 2.99-3.02, 2 Pb 3.27, 2 Bi 3.32
Pb 0.0000 0.0000 0.5000  4 Bi 3.27, 2 Pb 3.32
Pb 0.5000 0.5000 0.5000  4 Bi 3.27, 2 Pb 3.32

Calculated values
energy relative to the elements: 0.319 eV/atom
polymorph energy (0 for the lowest one): 187 meV per atom
magnetization: 0.0000 μB per atom


No. 4
Here is crystalline Pr2Sn4IrRh3 at its relaxed geometry from the Alexandria database. Energies are from PBE.

abc: 4.5120 4.5120 10.7661
angles: 90.00 90.00 90.00
Last column: nearest neighbours and their distance in Å.
Positions (direct):
Pr 0.0000 0.5000 0.2476  8 Sn 3.43-3.53, 6 Rh 3.45-3.49, 2 Ir 3.49
Pr 0.5000 0.0000 0.7524  8 Sn 3.43-3.53, 6 Rh 3.45-3.49, 2 Ir 3.49
Sn 0.0000 0.0000 0.5000  4 Rh 2.66
Sn 0.0000 0.5000 0.8695  3 Rh 2.58-2.66, 2 Ir 2.66
Sn 0.5000 0.0000 0.1305  3 Rh 2.58-2.66, 2 Ir 2.66
Sn 0.5000 0.5000 0.5000  4 Rh 2.66
Ir 0.5000 0.5000 0.0000  4 Sn 2.66
Rh 0.0000 0.0000 0.0000  4 Sn 2.66
Rh 0.0000 0.5000 0.6303  5 Sn 2.58-2.66
Rh 0.5000 0.0000 0.3697  5 Sn 2.58-2.66

Calculated values
energy relative to the elements: -0.678 eV/atom
magnetization: 0.0000 μB per atom


No. 5
Here is crystalline BaGa2Cl at its relaxed geometry from the Alexandria database. Energies are from PBE.

abc: 5.4725 5.4725 5.4725
angles: 60.00 60.00 60.00
Last column: nearest neighbours and their distance in Å.
Positions (direct):
Ba 0.0000 0.0000 0.0000  8 Ga 3.35
Ga 0.2500 0.2500 0.2500  4 Cl 3.35, 4 Ba 3.35
Ga 0.7500 0.7500 0.7500  4 Cl 3.35, 4 Ba 3.35
Cl 0.5000 0.5000 0.5000  8 Ga 3.35

Calculated values
polymorph energy (0 for the lowest one): 516 meV per atom
raw formation energy: -0.220 eV/atom
magnetization: 0.0000 μB per atom


No. 6
Here is crystalline Y2Sc2Ge2C at its relaxed geometry from the Alexandria database. Energies are from PBE.

abc: 8.1695 8.1695 8.1695
angles: 148.71 148.71 44.84
Last column: nearest neighbours and their distance in Å.
Positions (direct):
Y 0.1654 0.1654 0.0000  1 C 2.50
Y 0.8346 0.8346 0.0000  1 C 2.50
Sc 0.0000 0.5000 0.5000  2 C 2.20
Sc 0.5000 0.0000 0.5000  2 C 2.20
Ge 0.3668 0.3668 0.0000  4 Sc 2.98, 5 Y 3.04-3.15
Ge 0.6332 0.6332 0.0000  4 Sc 2.98, 5 Y 3.04-3.15
C 0.0000 0.0000 0.0000  4 Sc 2.20

Calculated values
energy relative to the elements: -0.871 eV/atom
magnetization: 0.0000 μB per atom